Record 1
The following is a PBE-GGA calculation of RbCaTe3 after structural relaxation, from Alexandria.

abc: 5.9840 5.9840 5.9840
angles: 90.00 90.00 90.00
With the nearest neighbours (Å) after each atom.
Sites, in units of the cell vectors:
Rb1 0.0000 0.0000 0.0000  12 Te 4.23
Ca1 0.5000 0.5000 0.5000  6 Te 2.99
Te1 0.0000 0.5000 0.5000  2 Ca 2.99
Te2 0.5000 0.0000 0.5000  2 Ca 2.99
Te3 0.5000 0.5000 0.0000  2 Ca 2.99

E_tot (eV/atom): -3.04
Energy above the lowest structure with this stoichiometry (eV/f.u.): 1.895
Formation energy without anion corrections (eV/atom): -0.56
Crystal system: cubic
V (Å³/cell): 214.3

Record 2
The following is a PBE-GGA calculation of TaHg after structural relaxation, from Alexandria.

abc: 10.3051 10.3051 10.3051
angles: 16.83 16.83 16.83
With the nearest neighbours (Å) after each atom.
Sites, in units of the cell vectors:
Ta1 0.1257 0.1257 0.1257  9 Ta 3.02-3.04, 3 Hg 3.04
Ta2 0.8743 0.8743 0.8743  9 Ta 3.02-3.04, 3 Hg 3.04
Hg1 0.3770 0.3770 0.3770  9 Hg 3.02-3.18, 3 Ta 3.04
Hg2 0.6230 0.6230 0.6230  9 Hg 3.02-3.18, 3 Ta 3.04

E_tot (eV/atom): -5.72
Formation enthalpy at 0 K (eV/atom): 0.353
Crystal system: trigonal
V (Å³/cell): 80.0

Record 3
The following is a PBE-GGA calculation of CaGe2Mo2 after structural relaxation, from Alexandria.

abc: 5.5815 5.5815 5.5815
angles: 129.44 129.44 74.31
With the nearest neighbours (Å) after each atom.
Sites, in units of the cell vectors:
Ca1 0.0000 0.0000 0.0000  8 Ge 3.26, 10 Mo 3.33-3.55
Ge1 0.2500 0.7500 0.5000  4 Mo 2.63
Ge2 0.7500 0.2500 0.5000  4 Mo 2.63
Mo1 0.3741 0.3741 0.0000  1 Mo 2.24
Mo2 0.6259 0.6259 0.0000  1 Mo 2.24

E_tot (eV/atom): -6.59
Energy above the lowest structure with this stoichiometry (eV/f.u.): 1.191
Formation enthalpy at 0 K (eV/atom): -0.012
Crystal system: tetragonal
V (Å³/cell): 101.1

Record 4
The following is a PBE-GGA calculation of V4Cr2Re after structural relaxation, from Alexandria.

abc: 4.5764 6.6673 6.8156
angles: 80.31 74.99 70.69
With the nearest neighbours (Å) after each atom.
Sites, in units of the cell vectors:
V1 0.0000 0.0000 0.0000  5 V 2.56-2.81, 1 Re 2.62, 4 Cr 2.67-2.72
V2 0.0663 0.1708 0.5708  4 V 2.48-2.78, 1 Re 2.61, 4 Cr 2.66-2.75
V3 0.2317 0.5639 0.9958  2 Cr 2.53-2.60, 2 Re 2.58-2.70, 7 V 2.66-2.78
V4 0.4319 0.4460 0.6026  1 Cr 2.30, 1 Re 2.47
V5 0.6185 0.7796 0.0512  2 Cr 2.30-2.49, 1 V 2.56
V6 0.6972 0.0249 0.4119  5 Cr 2.53-2.79, 2 Re 2.56-2.67, 4 V 2.71-2.80
V7 0.8619 0.4185 0.8435  6 V 2.48-2.76, 1 Re 2.59, 2 Cr 2.68-2.74
V8 0.9340 0.5931 0.4055  4 Cr 2.51-2.81, 1 Re 2.63, 5 V 2.72-2.78
Cr1 0.3045 0.8083 0.3743  2 V 2.30-2.51, 2 Cr 2.39-2.54
Cr2 0.4675 0.7951 0.7061  4 Cr 2.28-2.55, 2 V 2.53
Cr3 0.5010 0.1332 0.8132  1 V 2.30, 1 Re 2.45, 1 Cr 2.55
Cr4 0.9660 0.7954 0.7049  3 Cr 2.28-2.39, 1 V 2.49
Re1 0.2760 0.1857 0.1751  2 Cr 2.45-2.63, 4 V 2.58-2.67, 2 Re 2.68-2.74
Re2 0.6570 0.4005 0.2359  6 V 2.47-2.70, 2 Re 2.68-2.74

E_tot (eV/atom): -9.71
Energy above the lowest structure with this stoichiometry (eV/f.u.): 0.000
Formation enthalpy at 0 K (eV/atom): 0.028
Crystal system: triclinic
V (Å³/cell): 188.8

Record 5
The following is a PBE-GGA calculation of PrZnCu after structural relaxation, from Alexandria.

abc: 5.6612 5.6612 5.6612
angles: 144.09 144.09 51.69
With the nearest neighbours (Å) after each atom.
Sites, in units of the cell vectors:
Pr1 0.0000 0.0000 0.0000  5 Zn 3.07-3.19, 5 Cu 3.08-3.19
Zn1 0.6984 0.6984 0.0000  4 Cu 2.68
Cu1 0.3019 0.3019 0.0000  4 Zn 2.68

E_tot (eV/atom): -3.49
Formation enthalpy at 0 K (eV/atom): -0.111
Crystal system: tetragonal
V (Å³/cell): 62.1

Record 6
The following is a PBE-GGA calculation of AcCe2Pb9 after structural relaxation, from Alexandria.

abc: 4.9655 4.9655 14.8666
angles: 90.00 90.00 90.00
With the nearest neighbours (Å) after each atom.
Sites, in units of the cell vectors:
Ac1 0.0000 0.0000 0.0000  12 Pb 3.51-3.59
Ce1 0.0000 0.0000 0.3385  12 Pb 3.45-3.51
Ce2 0.0000 0.0000 0.6615  12 Pb 3.45-3.51
Pb1 0.0000 0.5000 0.1744  8 Pb 3.46-3.59, 2 Ce 3.48, 2 Ac 3.59
Pb2 0.0000 0.5000 0.5000  4 Ce 3.45, 8 Pb 3.47-3.51
Pb3 0.0000 0.5000 0.8256  8 Pb 3.46-3.59, 2 Ce 3.48, 2 Ac 3.59
Pb4 0.5000 0.0000 0.1744  8 Pb 3.46-3.59, 2 Ce 3.48, 2 Ac 3.59
Pb5 0.5000 0.0000 0.5000  4 Ce 3.45, 8 Pb 3.47-3.51
Pb6 0.5000 0.0000 0.8256  8 Pb 3.46-3.59, 2 Ce 3.48, 2 Ac 3.59
Pb7 0.5000 0.5000 0.0000  4 Ac 3.51, 8 Pb 3.59
Pb8 0.5000 0.5000 0.3365  8 Pb 3.46-3.47, 4 Ce 3.51
Pb9 0.5000 0.5000 0.6635  8 Pb 3.46-3.47, 4 Ce 3.51

E_tot (eV/atom): -4.48
Formation enthalpy at 0 K (eV/atom): -0.367
Crystal system: tetragonal
V (Å³/cell): 366.5